No. 1
Below is crystalline TbMgI at its relaxed geometry, with properties calculated at the GGA-PBE level.

Structure (CIF):
```
data_TbMgI
_space_group_name_H-M_alt 'A m m 2'
_space_group_IT_number 38
_cell_length_a 16.199
_cell_length_b 3.797
_cell_length_c 6.580
_cell_angle_alpha 90.00
_cell_angle_beta 90.00
_cell_angle_gamma 90.00
loop_
_space_group_symop_operation_xyz
'x,y,z'
'-x,-y,z'
'-x,y,z'
'x,-y,z'
'x,y+1/2,z+1/2'
'-x,-y+1/2,z+1/2'
'-x,y+1/2,z+1/2'
'x,-y+1/2,z+1/2'
loop_
_atom_site_label
_atom_site_type_symbol
_atom_site_fract_x
_atom_site_fract_y
_atom_site_fract_z
Tb1 Tb 0.158 0.000 0.000
Mg1 Mg 0.000 0.000 0.667
Mg2 Mg 0.500 0.000 0.997
I1 I 0.296 0.000 0.667
```

Properties
Energy relative to the elements, uncorrected ... -8.5 kcal/mol of atoms

=====

No. 2
Below is crystalline In2SnBiH at its relaxed geometry, with properties calculated at the GGA-PBE level.

Structure (CIF):
```
data_In2SnBiH
_space_group_name_H-M_alt 'P 4/m m m'
_space_group_IT_number 123
_space_group_name_Hall '-P 4 2'
_cell_length_a 5.080
_cell_length_b 5.080
_cell_length_c 4.605
_cell_angle_alpha 90.00
_cell_angle_beta 90.00
_cell_angle_gamma 90.00
loop_
_atom_site_label
_atom_site_type_symbol
_atom_site_fract_x
_atom_site_fract_y
_atom_site_fract_z
In1 In 0.000 0.500 0.000
Sn1 Sn 0.000 0.000 0.500
Bi1 Bi 0.500 0.500 0.500
H1 H 0.000 0.000 0.000
```

Properties
E above lowest polymorph ... 0.0 meV per atom

=====

Computed total DFT energy (no corrections) (eV/atom) in order:
-2.960, -3.142